Entry 1:
MgBe2SiAu | GGA-PBE | optimized geometry

Cell and atoms, written as CIF:
```
data_MgBe2SiAu
_cell_length_a 4.1087
_cell_length_b 4.1087
_cell_length_c 5.2496
_cell_angle_alpha 90.00
_cell_angle_beta 90.00
_cell_angle_gamma 90.00
_space_group_name_H-M_alt 'P 4/m m m'
_space_group_IT_number 123
_space_group_name_Hall '-P 4 2'
loop_
_atom_site_label
_atom_site_fract_x
_atom_site_fract_y
_atom_site_fract_z
Mg1 0.0000 0.0000 0.0000
Be1 0.0000 0.5000 0.5000
Si1 0.5000 0.5000 0.5000
Au1 0.5000 0.5000 0.0000
```

## Properties
The volume comes out at 17.72 A^3/atom. The electronic total energy comes out at -3.118 eV per atom. The uncorrected formation energy comes out at 0.43 eV/atom.

---

Entry 2:
SmMg2BeAu4 | GGA-PBE | optimized geometry

Cell and atoms, written as CIF:
```
data_SmMg2BeAu4
_cell_length_a 4.5564
_cell_length_b 4.5564
_cell_length_c 25.2974
_cell_angle_alpha 90.00
_cell_angle_beta 90.00
_cell_angle_gamma 120.00
_space_group_name_H-M_alt 'R -3 m'
_space_group_IT_number 166
_space_group_name_Hall '-R 3 2"'
loop_
_atom_site_label
_atom_site_fract_x
_atom_site_fract_y
_atom_site_fract_z
Sm1 0.0000 0.0000 0.0000
Mg1 0.0000 0.0000 0.2409
Be1 0.0000 0.0000 0.5000
Au1 0.0000 0.0000 0.1326
Au2 0.0000 0.0000 0.4008
```

## Properties
The volume comes out at 18.95 A^3/atom. The electronic total energy comes out at -3.591 eV per atom.

---

Entry 3:
SrMgBeAu6 | GGA-PBE | optimized geometry

Cell and atoms, written as CIF:
```
data_SrMgBeAu6
_cell_length_a 13.2323
_cell_length_b 7.2423
_cell_length_c 9.5122
_cell_angle_alpha 90.00
_cell_angle_beta 125.54
_cell_angle_gamma 90.00
_space_group_name_H-M_alt 'C 1 2/m 1'
_space_group_IT_number 12
_space_group_name_Hall '-C 2y'
loop_
_atom_site_label
_atom_site_fract_x
_atom_site_fract_y
_atom_site_fract_z
Sr1 0.2460 0.0000 0.4893
Mg1 0.2500 0.2500 0.0000
Be1 0.0000 0.0000 0.0000
Be2 0.0000 0.0000 0.5000
Au1 0.0485 0.0000 0.8027
Au2 0.0532 0.5000 0.8278
Au3 0.1207 0.2679 0.6435
Au4 0.1218 0.2745 0.1482
```

## Properties
The volume comes out at 20.60 A^3/atom. The electronic total energy comes out at -3.276 eV per atom.

---

Entry 4:
SrMgBe2Au5 | GGA-PBE | optimized geometry

Cell and atoms, written as CIF:
```
data_SrMgBe2Au5
_cell_length_a 4.7033
_cell_length_b 4.7033
_cell_length_c 7.6133
_cell_angle_alpha 90.00
_cell_angle_beta 90.00
_cell_angle_gamma 90.00
_space_group_name_H-M_alt 'P 4/m m m'
_space_group_IT_number 123
_space_group_name_Hall '-P 4 2'
loop_
_atom_site_label
_atom_site_fract_x
_atom_site_fract_y
_atom_site_fract_z
Sr1 0.0000 0.0000 0.0000
Mg1 0.0000 0.0000 0.5000
Be1 0.5000 0.5000 0.3220
Au1 0.0000 0.5000 0.2967
Au2 0.5000 0.5000 0.0000
```

## Properties
The volume comes out at 18.71 A^3/atom. The electronic total energy comes out at -3.354 eV per atom.

---

Entry 5:
MgBeZn2Au4 | GGA-PBE | optimized geometry

Cell and atoms, written as CIF:
```
data_MgBeZn2Au4
_cell_length_a 4.4835
_cell_length_b 4.4835
_cell_length_c 21.9932
_cell_angle_alpha 90.00
_cell_angle_beta 90.00
_cell_angle_gamma 120.00
_space_group_name_H-M_alt 'R -3 m'
_space_group_IT_number 166
_space_group_name_Hall '-R 3 2"'
loop_
_atom_site_label
_atom_site_fract_x
_atom_site_fract_y
_atom_site_fract_z
Mg1 0.0000 0.0000 0.0000
Be1 0.0000 0.0000 0.5000
Zn1 0.0000 0.0000 0.2552
Au1 0.0000 0.0000 0.1320
Au2 0.0000 0.0000 0.3872
```

## Properties
The volume comes out at 15.95 A^3/atom. The electronic total energy comes out at -2.884 eV per atom.

---

Entry 6:
MnBeAu | GGA-PBE | optimized geometry

Cell and atoms, written as CIF:
```
data_MnBeAu
_cell_length_a 2.8756
_cell_length_b 2.8756
_cell_length_c 5.8817
_cell_angle_alpha 90.00
_cell_angle_beta 90.00
_cell_angle_gamma 120.00
_space_group_name_H-M_alt 'P 3 m 1'
_space_group_IT_number 156
_space_group_name_Hall 'P 3 -2"'
loop_
_atom_site_label
_atom_site_fract_x
_atom_site_fract_y
_atom_site_fract_z
Mn1 0.0000 0.0000 0.0000
Be1 0.3333 0.6667 0.7015
Au1 0.6667 0.3333 0.3917
```

## Properties
The volume comes out at 14.04 A^3/atom. The electronic total energy comes out at -5.186 eV per atom. The value obtained for the polymorph energy (0 for the lowest one) is 0.196 eV/atom.

---

Entry 7:
Mn2BeAu | GGA-PBE | optimized geometry

Cell and atoms, written as CIF:
```
data_Mn2BeAu
_cell_length_a 2.6489
_cell_length_b 2.6489
_cell_length_c 24.4010
_cell_angle_alpha 90.00
_cell_angle_beta 90.00
_cell_angle_gamma 120.00
_space_group_name_H-M_alt 'R 3 m'
_space_group_IT_number 160
_space_group_name_Hall 'R 3 -2"'
loop_
_atom_site_label
_atom_site_fract_x
_atom_site_fract_y
_atom_site_fract_z
Mn1 0.0000 0.0000 0.0000
Mn2 0.0000 0.0000 0.2600
Be1 0.0000 0.0000 0.7416
Au1 0.0000 0.0000 0.4936
```

## Properties
The volume comes out at 12.36 A^3/atom. The electronic total energy comes out at -6.075 eV per atom.

---

Entry 8:
Mn2BeAu | GGA-PBE | optimized geometry

Cell and atoms, written as CIF:
```
data_Mn2BeAu
_cell_length_a 3.7662
_cell_length_b 3.8015
_cell_length_c 7.6870
_cell_angle_alpha 90.00
_cell_angle_beta 90.00
_cell_angle_gamma 90.00
_space_group_name_H-M_alt 'I m m m'
_space_group_IT_number 71
_space_group_name_Hall '-I 2 2'
loop_
_atom_site_label
_atom_site_fract_x
_atom_site_fract_y
_atom_site_fract_z
Mn1 0.0000 0.0000 0.2490
Be1 0.0000 0.5000 0.5000
Au1 0.0000 0.5000 0.0000
```

## Properties
The volume comes out at 13.76 A^3/atom. The electronic total energy comes out at -6.195 eV per atom.